! PBE CaOs2Cl, optimized geometry; values from VASP
! M_tot: 0.000 μB/cell
! density of states at the Fermi level: 3.70 states/eV/f.u.
! raw formation energy: 0.46 eV per atom
! energy above the most stable polymorph in this dataset: 0.532 eV/atom
&SYSTEM
  ibrav = 0, nat = 4, ntyp = 3
/
ATOMIC_SPECIES
Cl 35.45 Cl.upf
Os 190.23 Os.upf
Ca 40.08 Ca.upf
ATOMIC_POSITIONS angstrom
Cl -2.4310 -0.7783 0.3665
Os -7.0719 1.5606 -3.9138
Os -2.7569 2.6893 0.3946
Ca -3.4017 0.7507 -1.8826
CELL_PARAMETERS angstrom
-3.1078 4.0816 -1.5115
-4.0436 -2.5034 -2.4463
2.2170 0.2769 4.8591

---

! PBE CaOs2Cl, optimized geometry; values from VASP
! M_tot: 0.000 μB/cell
! density of states at the Fermi level: 3.33 states/eV/f.u.
! raw formation energy: -0.03 eV per atom
! energy above the most stable polymorph in this dataset: 0.045 eV/atom
&SYSTEM
  ibrav = 0, nat = 4, ntyp = 3
/
ATOMIC_SPECIES
Os 190.23 Os.upf
Ca 40.08 Ca.upf
Cl 35.45 Cl.upf
ATOMIC_POSITIONS angstrom
Os 2.4815 -1.1144 1.1180
Ca 2.7127 1.9478 2.2449
Os 0.5703 0.4095 0.4720
Cl 5.0129 0.7032 3.2128
CELL_PARAMETERS angstrom
-0.1126 -2.1684 2.0176
2.7065 -1.7615 -1.7421
5.4557 3.9174 4.5148